Nb2Fe2W: relaxed, PBE-GGA.

The energy relative to the lowest polymorph listed for this composition comes out at 452 meV per atom. The calculation puts the total energy at -9.415 eV/atom. For the total magnetization, the calculation gives 0.0001 μB per atom. The formation energy from the elements comes out at 589 meV per atom.

The structure belongs to space group I4/mmm (No. 139); the cell edges are 3.918, 3.918 and 10.274 Å and the angles 90.00°, 90.00° and 90.00°. The inequivalent atoms are Nb at (0.000, 0.500, 0.250), Fe at (0.000, 0.000, 0.099) and W at (0.000, 0.000, 0.500).

YPHO2: relaxed, PBE-GGA.

The energy relative to the lowest polymorph listed for this composition comes out at 645 meV per atom. The calculation puts the total energy at -5.155 eV/atom. For the total magnetization, the calculation gives 0.5294 μB per atom.

The structure belongs to space group P4/mmm (No. 123); the cell edges are 4.301, 4.301 and 6.121 Å and the angles 90.00°, 90.00° and 90.00°. The inequivalent atoms are Y at (0.000, 0.000, 0.000), P at (0.000, 0.000, 0.500), H at (0.500, 0.500, 0.500) and O at (0.000, 0.500, 0.000).

Pm2PrDy4Mg: relaxed, PBE-GGA.

The calculation puts the total energy at -4.259 eV/atom. For the total magnetization, the calculation gives 0.0001 μB per atom. The formation energy from the elements comes out at 27 meV per atom.

The structure belongs to space group P4/mmm (No. 123); the cell edges are 4.995, 4.995 and 10.215 Å and the angles 90.00°, 90.00° and 90.00°. The inequivalent atoms are Pm at (0.000, 0.000, 0.000), Pm at (0.500, 0.500, 0.500), Pr at (0.000, 0.000, 0.500), Dy at (0.000, 0.500, 0.246) and Mg at (0.500, 0.500, 0.000).